Computed, not measured: an optimized crystal structure of K3Tl2Pd4 at the PBE-GGA level of DFT.

The structure in POSCAR format:
```
K3Tl2Pd4
1.0
4.648 0.000 0.000
-2.324 5.914 -1.548
0.000 0.104 9.275
Tl K Pd
2 3 4
direct
0.664 0.327 0.772
0.336 0.673 0.228
0.000 0.000 0.000
0.634 0.267 0.373
0.366 0.733 0.627
0.758 0.516 0.083
0.921 0.842 0.369
0.079 0.158 0.631
0.242 0.484 0.917
```

Output
* density: 6.2 Mg/m³
* M_tot: 0.0 Bohr magnetons per cell
* crystal system: monoclinic
* E: -3.356 eV/atom


Computed, not measured: an optimized crystal structure of KTl2Pd2 at the PBE-GGA level of DFT.

The structure in POSCAR format:
```
KTl2Pd2
1.0
4.261 0.000 -1.458
-0.578 4.942 -1.690
-0.220 0.312 6.313
Pd K Tl
2 1 2
direct
0.738 0.145 0.477
0.262 0.855 0.523
0.000 0.000 0.000
0.646 0.579 0.291
0.354 0.421 0.709
```

Output
* density: 8.2 Mg/m³
* M_tot: 0.0 Bohr magnetons per cell
* crystal system: monoclinic
* E: -3.414 eV/atom